{"formula": "Ac2Al5Au3", "functional": "PBE", "state": "relaxed", "dft_energy_ev_per_fu": -43.5, "m_tot_mub_per_cell": 0.04, "lattice": [[-5.462, 6.324, 3.195], [5.462, -6.324, 3.195], [5.462, 6.324, -3.195]], "species": ["Ac", "Ac", "Ac", "Ac", "Al", "Al", "Al", "Al", "Al", "Al", "Al", "Al", "Al", "Al", "Au", "Au", "Au", "Au", "Au", "Au"], "fractional_positions": [[0.372, 0.745, 0.118], [0.128, 0.245, 0.373], [0.872, 0.755, 0.627], [0.628, 0.255, 0.882], [0.250, 0.250, 0.000], [0.750, 0.750, 0.000], [0.882, 0.364, 0.247], [0.502, 0.250, 0.252], [0.002, 0.750, 0.252], [0.618, 0.864, 0.482], [0.382, 0.136, 0.518], [0.998, 0.250, 0.748], [0.498, 0.750, 0.748], [0.118, 0.636, 0.753], [0.126, 0.875, 0.001], [0.626, 0.625, 0.252], [0.750, 0.250, 0.500], [0.250, 0.750, 0.500], [0.374, 0.375, 0.748], [0.874, 0.125, 0.999]]}